DFT (PBE-GGA) results for an optimized crystal structure of KScNi2.

```
4
Lattice="-2.713 1.703 0.567 -1.678 -2.773 0.303 1.654 -0.103 8.225" Properties=species:S:1:pos:R:3 pbc="T T T"
K -0.860 -0.618 7.074
Ni 0.173 -0.011 0.860
Ni -1.854 -0.556 2.132
Sc 0.632 -0.039 3.141
```

Energy of formation from the pure elements in meV/atom: 230
Space-group type: P4mm, No. 99
E above lowest polymorph in eV/f.u.: 0.115

---

DFT (PBE-GGA) results for an optimized crystal structure of KScNi2.

```
4
Lattice="-2.792 -3.633 0.322 0.118 -4.552 -0.608 1.340 -2.510 6.674" Properties=species:S:1:pos:R:3 pbc="T T T"
K -0.334 -2.674 1.597
Ni 1.112 -2.341 5.795
Ni -0.439 -5.516 4.074
Sc -1.001 -8.021 4.791
```

Energy of formation from the pure elements in meV/atom: 255
Space-group type: C2/m, No. 12
E above lowest polymorph in eV/f.u.: 0.211

---

DFT (PBE-GGA) results for an optimized crystal structure of KScNi2.

```
4
Lattice="-1.461 -2.129 8.327 -4.440 -2.814 6.955 -1.971 -5.073 6.811" Properties=species:S:1:pos:R:3 pbc="T T T"
K -5.904 -7.511 16.570
Ni -7.739 -9.845 21.718
Ni -4.070 -5.178 11.421
Sc -1.968 -2.504 5.523
```

Energy of formation from the pure elements in meV/atom: 362
Space-group type: R-3m, No. 166
E above lowest polymorph in eV/f.u.: 0.643

---

DFT (PBE-GGA) results for an optimized crystal structure of KScNi2.

```
4
Lattice="-0.768 -2.101 4.183 -4.415 -0.366 1.695 -2.131 -4.234 0.172" Properties=species:S:1:pos:R:3 pbc="T T T"
Sc -3.657 -3.350 3.025
Ni -1.829 -1.675 1.513
Ni -5.486 -5.025 4.538
K 0.000 0.000 0.000
```

Energy of formation from the pure elements in meV/atom: 528
Space-group type: Fm-3m, No. 225
E above lowest polymorph in eV/f.u.: 1.305

---

DFT (PBE-GGA) results for an optimized crystal structure of KScNi.

```
3
Lattice="-0.142 4.260 2.175 -1.734 0.360 4.445 2.952 0.921 3.652" Properties=species:S:1:pos:R:3 pbc="T T T"
K 0.538 2.771 5.136
Ni 0.807 4.156 7.704
Sc 0.000 0.000 0.000
```

Energy of formation from the pure elements in meV/atom: 676
Space-group type: F-43m, No. 216
E above lowest polymorph in eV/f.u.: 1.425

---

DFT (PBE-GGA) results for an optimized crystal structure of KScNi2.

```
4
Lattice="-2.229 1.734 -2.682 -0.419 -3.151 -1.689 -5.771 -2.874 2.938" Properties=species:S:1:pos:R:3 pbc="T T T"
K -6.071 -3.922 -0.317
Ni -0.559 -0.704 0.009
Ni -2.712 -0.074 -0.622
Sc -2.172 -2.603 0.122
```

Energy of formation from the pure elements in meV/atom: 202
Space-group type: Pm, No. 6
E above lowest polymorph in eV/f.u.: 0.000

---

DFT (PBE-GGA) results for an optimized crystal structure of KSc4Ni.

```
6
Lattice="5.769 -0.383 -1.878 3.328 -4.895 1.383 1.524 -3.966 -4.347" Properties=species:S:1:pos:R:3 pbc="T T T"
K 7.966 -6.933 -3.632
Sc 6.903 -3.636 -2.763
Sc 4.732 -5.469 -4.025
Sc 5.655 -5.944 -1.094
Sc 3.952 -3.440 -1.802
Ni 0.000 0.000 0.000
```

Energy of formation from the pure elements in meV/atom: 790
Space-group type: F-43m, No. 216

---

DFT (PBE-GGA) results for an optimized crystal structure of KSc3Ni.

```
5
Lattice="5.120 0.000 0.000 0.000 5.120 0.000 0.000 0.000 5.120" Properties=species:S:1:pos:R:3 pbc="T T T"
Sc 0.000 2.560 0.000
Sc 0.000 0.000 2.560
Sc 2.560 0.000 0.000
Ni 0.000 0.000 0.000
K 2.560 2.560 2.560
```

Energy of formation from the pure elements in meV/atom: 201
Space-group type: Pm-3m, No. 221
E above lowest polymorph in eV/f.u.: 0.000

---

DFT (PBE-GGA) results for an optimized crystal structure of KScNi.

```
3
Lattice="-1.406 -3.077 1.310 1.668 0.005 -3.222 6.463 -1.528 3.344" Properties=species:S:1:pos:R:3 pbc="T T T"
K 0.336 -0.079 0.174
Ni 2.096 -2.636 1.081
Sc 4.294 -1.886 0.178
```

Energy of formation from the pure elements in meV/atom: 311
Space-group type: P3m1, No. 156
E above lowest polymorph in eV/f.u.: 0.330

---

DFT (PBE-GGA) results for an optimized crystal structure of KScNi2.

```
8
Lattice="-0.093 3.663 -6.402 -7.325 0.705 0.510 -3.357 4.777 -1.468" Properties=species:S:1:pos:R:3 pbc="T T T"
Sc 0.000 0.000 0.000
Sc -3.579 5.312 -5.408
Ni -1.816 3.715 -4.556
Ni -5.425 1.949 -0.598
Ni -5.012 5.193 -3.331
Ni -9.295 7.432 -6.237
K -3.709 2.184 -2.946
K -7.195 3.833 -1.952
```

Energy of formation from the pure elements in meV/atom: 598
Space-group type: I-42d, No. 122
E above lowest polymorph in eV/f.u.: 1.585

---

DFT (PBE-GGA) results for an optimized crystal structure of KScNi2.

```
4
Lattice="4.976 0.050 -0.012 -0.050 4.976 -0.012 0.005 0.005 3.039" Properties=species:S:1:pos:R:3 pbc="T T T"
K -0.023 2.491 1.514
Ni 0.000 0.000 0.000
Ni 2.463 2.513 -0.012
Sc 2.490 0.028 1.514
```

Energy of formation from the pure elements in meV/atom: 504
Space-group type: P4/mmm, No. 123
E above lowest polymorph in eV/f.u.: 1.208

---

DFT (PBE-GGA) results for an optimized crystal structure of KScNi.

```
3
Lattice="-5.136 -0.127 -5.455 -4.693 -3.401 -4.750 -2.918 -0.030 1.702" Properties=species:S:1:pos:R:3 pbc="T T T"
K -9.668 -3.447 -9.928
Ni -4.980 -1.074 -1.850
Sc -7.927 -2.566 -6.929
```

Energy of formation from the pure elements in meV/atom: 201
Space-group type: I4mm, No. 107
E above lowest polymorph in eV/f.u.: 0.000

---

DFT (PBE-GGA) results for an optimized crystal structure of KScNi2.

```
4
Lattice="4.494 -0.009 0.521 3.462 2.865 0.521 2.412 0.866 7.632" Properties=species:S:1:pos:R:3 pbc="T T T"
K 2.249 0.807 2.156
Ni 2.845 1.021 6.784
Ni 7.632 2.740 5.543
Sc 5.238 1.880 6.158
```

Energy of formation from the pure elements in meV/atom: 262
Space-group type: Cm, No. 8
E above lowest polymorph in eV/f.u.: 0.240

---

DFT (PBE-GGA) results for an optimized crystal structure of KScNi.

```
3
Lattice="4.721 0.000 0.000 2.360 4.088 0.000 2.360 1.363 3.854" Properties=species:S:1:pos:R:3 pbc="T T T"
K 7.081 4.088 2.891
Ni 0.000 0.000 0.000
Sc 4.721 2.725 1.927
```

Energy of formation from the pure elements in meV/atom: 1399
Space-group type: F-43m, No. 216
E above lowest polymorph in eV/f.u.: 3.592

---

DFT (PBE-GGA) results for an optimized crystal structure of KSc3Ni.

```
5
Lattice="-1.849 4.380 0.018 -0.136 -0.076 4.752 4.378 1.848 0.155" Properties=species:S:1:pos:R:3 pbc="T T T"
Sc -0.068 -0.038 2.376
Sc 2.189 0.924 0.078
Sc -0.925 2.190 0.009
Ni 1.196 3.076 2.462
K 0.000 0.000 0.000
```

Energy of formation from the pure elements in meV/atom: 1616
Space-group type: Pm-3m, No. 221
E above lowest polymorph in eV/f.u.: 7.079

---

DFT (PBE-GGA) results for an optimized crystal structure of KScNi2.

```
4
Lattice="4.633 0.000 0.000 2.316 4.012 0.000 2.316 1.337 3.783" Properties=species:S:1:pos:R:3 pbc="T T T"
K 4.633 2.675 1.891
Ni 0.000 0.000 0.000
Ni 2.316 1.337 0.946
Sc 6.949 4.012 2.837
```

Energy of formation from the pure elements in meV/atom: 656
Space-group type: F-43m, No. 216
E above lowest polymorph in eV/f.u.: 1.819

---

DFT (PBE-GGA) results for an optimized crystal structure of KScNi2.

```
4
Lattice="-4.447 -0.112 2.976 -1.525 -4.845 1.687 4.558 2.806 0.029" Properties=species:S:1:pos:R:3 pbc="T T T"
K -1.438 0.108 2.668
Ni 0.000 0.000 0.000
Ni 0.023 -2.259 2.024
Sc -2.986 -2.479 2.331
```

Energy of formation from the pure elements in meV/atom: 636
Space-group type: I-4m2, No. 119
E above lowest polymorph in eV/f.u.: 1.738

---

DFT (PBE-GGA) results for an optimized crystal structure of KSc2NiSe4.

```
16
Lattice="3.876 0.000 0.000 -1.938 6.911 0.000 0.000 0.000 13.746" Properties=species:S:1:pos:R:3 pbc="T T T"
K 0.000 1.589 10.310
K 1.938 5.322 3.437
Sc 0.000 5.090 7.782
Sc 1.938 1.821 0.909
Sc 1.938 1.821 5.965
Sc 0.000 5.090 12.838
Ni 1.938 4.705 10.310
Ni 0.000 2.206 3.437
Se 0.000 3.592 1.485
Se 1.938 3.319 8.358
Se 1.938 3.319 12.262
Se 0.000 3.592 5.389
Se 0.000 0.000 6.873
Se 0.000 0.000 0.000
Se 0.000 6.017 10.310
Se 1.938 0.894 3.437
```

Formation energy from raw total energies in eV/atom: -1.3223
Space-group type: Cmcm, No. 63

---

DFT (PBE-GGA) results for an optimized crystal structure of KScSi2Ni.

```
5
Lattice="-2.072 -0.876 -3.917 3.334 -3.649 -0.947 -2.675 -2.985 2.083" Properties=species:S:1:pos:R:3 pbc="T T T"
Sc -0.707 -3.755 -1.391
Ni 0.000 0.000 0.000
K 1.667 -1.824 -0.474
Si -1.338 -1.492 1.041
Si -1.036 -0.438 -1.959
```

Formation energy from raw total energies in eV/atom: 0.4138
Space-group type: P4/mmm, No. 123

---

DFT (PBE-GGA) results for an optimized crystal structure of KScTaNi2.

```
5
Lattice="-1.316 -4.320 0.454 2.815 -1.242 -3.655 3.423 -0.739 2.887" Properties=species:S:1:pos:R:3 pbc="T T T"
Sc 0.000 0.000 0.000
Ni 1.712 -0.370 1.444
Ni -0.658 -2.160 0.227
K 1.407 -0.621 -1.828
Ta 2.461 -3.151 -0.157
```

Energy of formation from the pure elements in meV/atom: 1615
Space-group type: P4/mmm, No. 123

---

DFT (PBE-GGA) results for an optimized crystal structure of K2ScTcNi.

```
5
Lattice="5.849 0.000 0.000 0.000 4.569 0.000 0.000 0.000 5.849" Properties=species:S:1:pos:R:3 pbc="T T T"
Sc 2.925 2.285 2.925
Ni 0.000 0.000 0.000
K 0.000 0.000 2.925
K 2.925 0.000 0.000
Tc 0.000 2.285 0.000
```

Energy of formation from the pure elements in meV/atom: 1361
Space-group type: P4/mmm, No. 123

---

DFT (PBE-GGA) results for an optimized crystal structure of KNiSe3.

```
5
Lattice="4.872 0.000 0.000 0.000 4.872 0.000 0.000 0.000 4.872" Properties=species:S:1:pos:R:3 pbc="T T T"
Ni 0.000 0.000 0.000
K 2.436 2.436 2.436
Se 0.000 2.436 0.000
Se 0.000 0.000 2.436
Se 2.436 0.000 0.000
```

Formation energy from raw total energies in eV/atom: -0.2187
Space-group type: Pm-3m, No. 221
E above lowest polymorph in eV/f.u.: 0.418

---

DFT (PBE-GGA) results for an optimized crystal structure of KNiSe2.

```
4
Lattice="0.719 -6.665 -4.681 2.689 -7.526 -1.724 -4.012 1.662 3.157" Properties=species:S:1:pos:R:3 pbc="T T T"
K -1.445 -6.182 -0.838
Ni -2.492 -3.080 0.763
Se 2.657 -13.177 -5.609
Se -0.228 -8.884 -2.436
```

Formation energy from raw total energies in eV/atom: -0.5305
Space-group type: Cm, No. 8

---

DFT (PBE-GGA) results for an optimized crystal structure of KNiSe2.

```
4
Lattice="0.000 3.488 3.488 3.488 0.000 3.488 3.488 3.488 0.000" Properties=species:S:1:pos:R:3 pbc="T T T"
Ni 3.488 3.488 3.488
K 0.000 0.000 0.000
Se 1.744 1.744 1.744
Se 5.232 5.232 5.232
```

Formation energy from raw total energies in eV/atom: 0.1515
Space-group type: Fm-3m, No. 225

---

DFT (PBE-GGA) results for an optimized crystal structure of KNiSe3.

```
5
Lattice="-5.218 0.284 -2.004 1.404 -3.485 -4.148 -1.458 -4.370 3.178" Properties=species:S:1:pos:R:3 pbc="T T T"
Ni -2.636 -3.786 -1.487
K 0.000 0.000 0.000
Se 0.702 -1.742 -2.074
Se -0.729 -2.185 1.589
Se -2.609 0.142 -1.002
```

Formation energy from raw total energies in eV/atom: 1.5038
Space-group type: Pm-3m, No. 221
E above lowest polymorph in eV/f.u.: 9.030

---

DFT (PBE-GGA) results for an optimized crystal structure of KNiSe2.

```
4
Lattice="-0.149 -4.454 6.784 -1.761 -1.034 -4.961 1.835 -2.217 -0.191" Properties=species:S:1:pos:R:3 pbc="T T T"
K 0.037 -1.625 -2.576
Ni -0.955 -2.744 0.912
Se 0.000 0.000 0.000
Se 0.843 -3.335 3.296
```

Formation energy from raw total energies in eV/atom: 0.0727
Space-group type: P4/mmm, No. 123

---

DFT (PBE-GGA) results for an optimized crystal structure of KNiSe2.

```
4
Lattice="5.775 -0.030 0.007 1.110 5.667 -0.007 -2.201 -4.335 3.117" Properties=species:S:1:pos:R:3 pbc="T T T"
K 3.508 -0.773 1.562
Ni 1.176 2.076 1.555
Se 0.565 0.462 0.000
Se 2.878 2.356 0.000
```

Formation energy from raw total energies in eV/atom: -0.5167
Space-group type: Immm, No. 71

---

DFT (PBE-GGA) results for an optimized crystal structure of KNiSe2.

```
4
Lattice="-2.991 2.060 0.869 -1.783 -0.759 -4.338 -2.217 -3.890 1.591" Properties=species:S:1:pos:R:3 pbc="T T T"
K -2.387 0.650 -1.735
Ni -2.604 -0.915 1.230
Se 0.000 0.000 0.000
Se -2.000 -2.324 -1.374
```

Formation energy from raw total energies in eV/atom: 0.1869
Space-group type: P4/mmm, No. 123

---

DFT (PBE-GGA) results for an optimized crystal structure of K2Ni3Se4.

```
18
Lattice="-12.143 7.404 3.092 -13.351 1.451 3.562 1.008 3.342 4.993" Properties=species:S:1:pos:R:3 pbc="T T T"
K -23.535 8.447 6.532
K -0.950 3.750 5.116
K -8.080 3.457 3.035
K -4.163 2.642 2.789
Ni -12.243 6.098 5.824
Ni -18.364 9.148 8.736
Ni -5.640 4.725 5.410
Ni -18.846 7.472 6.238
Ni -24.967 10.521 9.150
Ni -11.761 7.774 8.322
Se -14.125 4.852 5.193
Se -11.099 4.249 4.949
Se -13.385 7.974 6.645
Se -10.362 7.319 6.509
Se -16.482 10.394 9.367
Se -19.508 10.997 9.611
Se -17.222 7.272 7.915
Se -20.245 7.927 8.050
```

Formation energy from raw total energies in eV/atom: -0.6322
Space-group type: Fddd, No. 70